Record 1
## Cd2InGeAs (GGA-PBE)

Data for a geometry-optimized Cd2InGeAs structure.

Cell lengths 5.355, 5.355, 5.230 Å; angles 90.00, 90.00, 90.00 degrees
Sites, in units of the cell vectors:
Cd1 0.000 0.500 0.000
Cd2 0.500 0.000 0.000
In1 0.000 0.000 0.000
Ge1 0.000 0.000 0.500
As1 0.500 0.500 0.500

Calculated values
- raw total energy (eV/cell) = -9.943
- magnetic moment (μB per cell) = 0.1
- space-group type = No. 123


Record 2
## NbAgSb2O (GGA-PBE)

Data for a geometry-optimized NbAgSb2O structure.

Cell lengths 4.757, 4.757, 4.240 Å; angles 90.00, 90.00, 90.00 degrees
Sites, in units of the cell vectors:
Nb1 0.000 0.000 0.000
Ag1 0.500 0.500 0.000
Sb1 0.000 0.500 0.500
Sb2 0.500 0.000 0.500
O1 0.500 0.500 0.500

Calculated values
- magnetic moment (μB per cell) = 0.0
- space-group type = No. 123
- energy relative to the elements, uncorrected (meV/atom) = 202


Record 3
## Y4ZnRu (GGA-PBE)

Data for a geometry-optimized Y4ZnRu structure.

Cell lengths 4.870, 4.870, 6.934 Å; angles 90.10, 90.10, 90.00 degrees
Sites, in units of the cell vectors:
Y1 0.001 0.500 0.761
Y2 0.500 0.001 0.761
Y3 0.500 0.999 0.239
Y4 0.999 0.500 0.239
Zn1 0.000 0.000 0.500
Ru1 0.500 0.500 0.000

Calculated values
- magnetic moment (μB per cell) = 0.0
- offset from the most stable computed form (eV per formula unit) = 0.93
- space-group type = No. 12